Tb3Sc2Bi4 PBE relaxed; magnetic moment = 0.0008 μB/atom; calculated volume = 264.3 Å³/cell; energy relative to the elements = -0.644 eV per atom; total DFT energy (no corrections) = -5.319 eV/atom
1.0
-4.287 -0.331 0.985
1.973 -6.575 -3.505
2.034 1.971 9.520
Sc Tb Bi
2 3 4
direct
0.316 0.631 0.639
0.684 0.369 0.361
0.357 0.713 0.297
0.643 0.287 0.703
0.000 0.000 0.000
0.942 0.883 0.614
0.058 0.117 0.386
0.326 0.652 0.940
0.674 0.348 0.060